Density functional theory data (PBE-GGA) for a geometry-optimized Ho4Al2Ga structure.

abc: 5.0258 5.0258 8.7141
angles: 73.24 73.24 60.00
Atoms (fractional coordinates):
Al1 0.7497 0.7497 0.7508
Al2 0.2503 0.2503 0.2492
Ho1 0.1270 0.1270 0.6189
Ho2 0.3785 0.3785 0.8644
Ho3 0.8730 0.8730 0.3811
Ho4 0.6215 0.6215 0.1356
Ga1 0.0000 0.0000 0.0000

Summary:
**Energy relative to the elements**: -2.02 eV/f.u.
**Uncorrected energy**: -30.840 eV for the cell shown